The following is a DFT calculation (PBE) of a relaxed structure of NaSiMo3.

extended XYZ file:
```
5
Lattice="4.607 0.000 0.000 0.000 4.607 0.000 0.000 0.000 4.607" Properties=species:S:1:pos:R:3 pbc="T T T"
Na 0.000 0.000 0.000
Si 2.303 2.303 2.303
Mo 0.000 2.303 2.303
Mo 2.303 0.000 2.303
Mo 2.303 2.303 0.000
```

## Properties
Its density of states at the Fermi level is 1.733 states/eV per atom. For the offset from the most stable computed form, the calculation gives 0.000 eV/atom. As for the theoretical density: 5.8 Mg/m³. The final energy comes out at -6.6051 eV per atom. As for the uncorrected formation energy: 1.24 eV per atom.